Version 1
! Mg8AgAu2, optimized geometry, DFT PBE-GGA; values from VASP
&SYSTEM
  ibrav = 0, nat = 11, ntyp = 3
/
ATOMIC_SPECIES
Mg 24.30 Mg.upf
Ag 107.87 Ag.upf
Au 196.97 Au.upf
CELL_PARAMETERS angstrom
3.962 -6.168 0.000
3.962 6.168 0.000
-1.498 0.000 4.821
ATOMIC_POSITIONS crystal
Mg 0.076 0.320 0.603
Mg 0.230 0.770 0.000
Mg 0.320 0.076 0.603
Mg 0.379 0.379 0.193
Mg 0.621 0.621 0.807
Mg 0.680 0.924 0.397
Mg 0.770 0.230 0.000
Mg 0.924 0.680 0.397
Ag 0.000 0.000 0.000
Au 0.311 0.689 0.500
Au 0.689 0.311 0.500
! Crystal system: monoclinic



Version 2
! Mg8AgAu2, optimized geometry, DFT PBE-GGA; values from VASP
&SYSTEM
  ibrav = 0, nat = 11, ntyp = 3
/
ATOMIC_SPECIES
Mg 24.30 Mg.upf
Ag 107.87 Ag.upf
Au 196.97 Au.upf
CELL_PARAMETERS angstrom
-2.249 3.783 6.502
2.249 -3.783 6.502
2.249 3.783 -6.502
ATOMIC_POSITIONS crystal
Mg 0.121 0.341 0.780
Mg 0.149 0.149 0.000
Mg 0.306 0.000 0.306
Mg 0.439 0.659 0.780
Mg 0.561 0.341 0.220
Mg 0.694 0.000 0.694
Mg 0.851 0.851 0.000
Mg 0.879 0.659 0.220
Ag 0.000 0.500 0.500
Au 0.310 0.810 0.500
Au 0.690 0.190 0.500
! Crystal system: orthorhombic



The least stable of the structures above is version 1, whereas version 2 is the most stable.